Record 1
Compound: K2RbIn
Source: Alexandria via LeMat-Bulk
Functional: PBE
Structure: optimized geometry

a = 4.551 Å, b = 4.551 Å, c = 10.775 Å
α = 90.00°, β = 90.00°, γ = 90.00°
Space group P4/mmm (No. 123)
One atom of each set of equivalent atoms:
K: 0.000 0.000 0.182 x2
Rb: 0.500 0.500 0.500 x1
In: 0.500 0.500 0.000 x1


Record 2
Compound: ZnCo2Rh
Source: Alexandria via LeMat-Bulk
Functional: PBE
Structure: optimized geometry

a = 4.069 Å, b = 2.952 Å, c = 4.214 Å
α = 90.00°, β = 90.16°, γ = 90.00°
Space group P2/m (No. 10)
One atom of each set of equivalent atoms:
Zn: 0.000 0.000 0.000 x1
Co: 0.000 0.500 0.500 x1
Co: 0.500 0.000 0.500 x1
Rh: 0.500 0.500 0.000 x1


Record 3
Compound: TcNiP2Se
Source: Alexandria via LeMat-Bulk
Functional: PBE
Structure: optimized geometry

a = 7.401 Å, b = 3.030 Å, c = 7.278 Å
α = 90.00°, β = 96.31°, γ = 90.00°
Space group Cm (No. 8)
One atom of each set of equivalent atoms:
Tc: 0.000 0.000 0.000 x2
Ni: 0.415 0.500 0.360 x2
P: 0.187 0.500 0.843 x2
P: 0.307 0.000 0.150 x2
Se: 0.143 0.500 0.508 x2

Calculated values
energy relative to the elements, uncorrected	-0.248	eV per atom
polymorph energy (0 for the lowest one)	42	meV/atom


Number 1: total DFT energy (no corrections) -1.4339 eV per atom, V 223.2 Å³/cell. Number 2: total DFT energy (no corrections) -5.7098 eV per atom, V 50.6 Å³/cell. Number 3: total DFT energy (no corrections) -6.3385 eV per atom, V 162.2 Å³/cell.